# 1
# Ba2CoO4 meta-GGA SCAN single point on PBEsol structure
# Calculated total energy = -19.6021 eV/atom
# Volume = 16.72 A^3/atom
# Energy relative to the elements, uncorrected = -2.27 eV per atom
# Magnetization = 0.714 μB/atom
data_Ba2CoO4
_chemical_formula_sum 'Ba8 Co4 O16'
_space_group_name_H-M_alt 'P 1 21/c 1'
_space_group_IT_number 14
_cell_length_a 5.971
_cell_length_b 7.599
_cell_length_c 11.657
_cell_angle_alpha 90.00
_cell_angle_beta 117.73
_cell_angle_gamma 90.00
loop_
_space_group_symop_operation_xyz
'x,y,z'
'-x,-y,-z'
'-x,y+1/2,-z+1/2'
'x,-y+1/2,z+1/2'
loop_
_atom_site_label
_atom_site_type_symbol
_atom_site_fract_x
_atom_site_fract_y
_atom_site_fract_z
_atom_site_occupancy
Ba1 Ba 0.039 0.004 0.310 1
Ba2 Ba 0.319 0.149 0.080 1
Co1 Co 0.337 0.724 0.082 1
O1 O 0.136 0.671 0.638 1
O2 O 0.236 0.681 0.422 1
O3 O 0.294 0.008 0.576 1
O4 O 0.338 0.221 0.819 1

---

# 2
# BaCoP2O7 meta-GGA SCAN single point on PBEsol structure
# Calculated total energy = -13.6057 eV/atom
# Volume = 13.03 A^3/atom
# Energy relative to the elements, uncorrected = -2.58 eV per atom
# Magnetization = 0.273 μB/atom
data_BaCoP2O7
_chemical_formula_sum 'Ba2 Co2 P4 O14'
_space_group_name_H-M_alt 'P -1'
_space_group_IT_number 2
_cell_length_a 5.285
_cell_length_b 7.374
_cell_length_c 7.579
_cell_angle_alpha 102.87
_cell_angle_beta 92.69
_cell_angle_gamma 93.79
loop_
_space_group_symop_operation_xyz
'x,y,z'
'-x,-y,-z'
loop_
_atom_site_label
_atom_site_type_symbol
_atom_site_fract_x
_atom_site_fract_y
_atom_site_fract_z
_atom_site_occupancy
Ba1 Ba 0.198 0.276 0.432 1
Co1 Co 0.198 0.112 0.897 1
P1 P 0.292 0.691 0.899 1
P2 P 0.300 0.768 0.285 1
O1 O 0.066 0.885 0.299 1
O2 O 0.109 0.852 0.913 1
O3 O 0.203 0.528 0.748 1
O4 O 0.271 0.625 0.088 1
O5 O 0.300 0.651 0.426 1
O6 O 0.431 0.231 0.106 1
O7 O 0.450 0.110 0.704 1

---

# 3
# Ba2CoP2O8 meta-GGA SCAN single point on PBEsol structure
# Calculated total energy = -15.6233 eV/atom
# Volume = 14.52 A^3/atom
# Energy relative to the elements, uncorrected = -2.77 eV per atom
# Magnetization = 0.231 μB/atom
data_Ba2CoP2O8
_chemical_formula_sum 'Ba8 Co4 P8 O32'
_space_group_name_H-M_alt 'P 1 21/c 1'
_space_group_IT_number 14
_cell_length_a 5.272
_cell_length_b 8.878
_cell_length_c 16.869
_cell_angle_alpha 90.00
_cell_angle_beta 107.05
_cell_angle_gamma 90.00
loop_
_space_group_symop_operation_xyz
'x,y,z'
'-x,-y,-z'
'-x,y+1/2,-z+1/2'
'x,-y+1/2,z+1/2'
loop_
_atom_site_label
_atom_site_type_symbol
_atom_site_fract_x
_atom_site_fract_y
_atom_site_fract_z
_atom_site_occupancy
Ba1 Ba 0.022 0.155 0.269 1
Ba2 Ba 0.187 0.703 0.981 1
Co1 Co 0.403 0.013 0.135 1
P1 P 0.188 0.092 0.923 1
P2 P 0.420 0.112 0.666 1
O1 O 0.106 0.635 0.625 1
O2 O 0.220 0.098 0.016 1
O3 O 0.243 0.030 0.588 1
O4 O 0.249 0.564 0.391 1
O5 O 0.286 0.614 0.834 1
O6 O 0.314 0.225 0.169 1
O7 O 0.373 0.207 0.899 1
O8 O 0.393 0.028 0.745 1

---

# 4
# BaCo2P2O8 meta-GGA SCAN single point on PBEsol structure
# Calculated total energy = -13.5308 eV/atom
# Volume = 11.93 A^3/atom
# Polymorph energy (0 for the lowest one) = 0 meV per atom
# Energy relative to the elements, uncorrected = -2.39 eV per atom
# Magnetization = 0.462 μB/atom
data_BaCo2P2O8
_chemical_formula_sum 'Ba3 Co6 P6 O24'
_space_group_name_H-M_alt 'R -3'
_space_group_IT_number 148
_space_group_name_Hall '-R 3'
_cell_length_a 4.7604
_cell_length_b 4.7604
_cell_length_c 23.7075
_cell_angle_alpha 90.00
_cell_angle_beta 90.00
_cell_angle_gamma 120.00
loop_
_atom_site_label
_atom_site_type_symbol
_atom_site_fract_x
_atom_site_fract_y
_atom_site_fract_z
_atom_site_occupancy
Ba1 Ba 0.0000 0.0000 0.0000 1
Co1 Co 0.0000 0.0000 0.1681 1
P1 P 0.0000 0.0000 0.4261 1
O1 O 0.0000 0.0000 0.3618 1
O2 O 0.0076 0.3141 0.5525 1

---

# 5
# BaCo2P2O8 meta-GGA SCAN single point on PBEsol structure
# Calculated total energy = -13.5135 eV/atom
# Volume = 14.13 A^3/atom
# Polymorph energy (0 for the lowest one) = 17 meV per atom
# Energy relative to the elements, uncorrected = -2.37 eV per atom
# Magnetization = 0.462 μB/atom
data_BaCo2P2O8
_chemical_formula_sum 'Ba2 Co4 P4 O16'
_space_group_name_H-M_alt 'P 1 21/c 1'
_space_group_IT_number 14
_cell_length_a 8.069
_cell_length_b 4.968
_cell_length_c 9.179
_cell_angle_alpha 90.00
_cell_angle_beta 93.16
_cell_angle_gamma 90.00
loop_
_space_group_symop_operation_xyz
'x,y,z'
'-x,-y,-z'
'-x,y+1/2,-z+1/2'
'x,-y+1/2,z+1/2'
loop_
_atom_site_label
_atom_site_type_symbol
_atom_site_fract_x
_atom_site_fract_y
_atom_site_fract_z
_atom_site_occupancy
Ba1 Ba 0.000 0.000 0.000 1
Co1 Co 0.352 0.061 0.713 1
P1 P 0.265 0.000 0.368 1
O1 O 0.135 0.147 0.270 1
O2 O 0.226 0.063 0.529 1
O3 O 0.264 0.691 0.351 1
O4 O 0.437 0.122 0.327 1

---

# 6
# BaCoP2O meta-GGA SCAN single point on PBEsol structure
# Calculated total energy = -17.3230 eV/atom
# Volume = 19.00 A^3/atom
# Energy relative to the elements, uncorrected = -0.55 eV per atom
# Magnetization = 0.223 μB/atom
data_BaCoP2O
_chemical_formula_sum 'Ba1 Co1 P2 O1'
_space_group_name_H-M_alt 'P 4/m m m'
_space_group_IT_number 123
_space_group_name_Hall '-P 4 2'
_cell_length_a 4.109
_cell_length_b 4.109
_cell_length_c 5.627
_cell_angle_alpha 90.00
_cell_angle_beta 90.00
_cell_angle_gamma 90.00
loop_
_atom_site_label
_atom_site_type_symbol
_atom_site_fract_x
_atom_site_fract_y
_atom_site_fract_z
_atom_site_occupancy
Ba1 Ba 0.000 0.000 0.000 1
Co1 Co 0.500 0.500 0.500 1
P1 P 0.000 0.500 0.500 1
O1 O 0.500 0.500 0.000 1

---

What did the fourth record say?
# BaCo2P2O8 meta-GGA SCAN single point on PBEsol structure
# Calculated total energy = -13.5308 eV/atom
# Volume = 11.93 A^3/atom
# Polymorph energy (0 for the lowest one) = 0 meV per atom
# Energy relative to the elements, uncorrected = -2.39 eV per atom
# Magnetization = 0.462 μB/atom
data_BaCo2P2O8
_chemical_formula_sum 'Ba3 Co6 P6 O24'
_space_group_name_H-M_alt 'R -3'
_space_group_IT_number 148
_space_group_name_Hall '-R 3'
_cell_length_a 4.7604
_cell_length_b 4.7604
_cell_length_c 23.7075
_cell_angle_alpha 90.00
_cell_angle_beta 90.00
_cell_angle_gamma 120.00
loop_
_atom_site_label
_atom_site_type_symbol
_atom_site_fract_x
_atom_site_fract_y
_atom_site_fract_z
_atom_site_occupancy
Ba1 Ba 0.0000 0.0000 0.0000 1
Co1 Co 0.0000 0.0000 0.1681 1
P1 P 0.0000 0.0000 0.4261 1
O1 O 0.0000 0.0000 0.3618 1
O2 O 0.0076 0.3141 0.5525 1

---

What is the calculated total energy in the second record?
-13.6057 eV/atom